Run P
Below is crystalline Pr5Nd2Dy4 at its relaxed geometry, with properties calculated at the PBE level.

It has space group C2/m (No. 12), with a = 17.997 Å, b = 3.580 Å, c = 11.802 Å, α = 90.00°, β = 93.95° and γ = 90.00°. Symmetry generates all atoms from Pr at (0.000, 0.000, 0.000), Pr at (0.096, 0.500, 0.536), Pr at (0.176, 0.500, 0.071), Nd at (0.217, 0.000, 0.352), Dy at (0.033, 0.500, 0.259) and Dy at (0.140, 0.000, 0.798).

Its volume is 379.31 Å³/f.u.

Run Q
Below is crystalline Pr5Nd2Dy4 at its relaxed geometry, with properties calculated at the PBE level.

It has space group Immm (No. 71), with a = 3.568 Å, b = 9.284 Å, c = 23.750 Å, α = 90.00°, β = 90.00° and γ = 90.00°. Symmetry generates all atoms from Pr at (0.000, 0.000, 0.000), Pr at (0.000, 0.301, 0.356), Nd at (0.000, 0.500, 0.231), Dy at (0.000, 0.187, 0.500) and Dy at (0.000, 0.500, 0.096).

Its volume is 393.37 Å³/f.u.

It is run Q that is the least stable of them.